Compound: Sr3InSb
Source: the Alexandria database
Functional: PBE
Structure: optimized geometry

a b c (Å): 6.2561 6.2561 6.2561
angles (deg): 90.00 90.00 90.00
Closest atoms and distances in Å follow each position.
Space group Pm-3m (No. 221)
Inequivalent atoms, fractional coordinates:
Sr1 0.0000 0.0000 0.5000 [3 per cell]  2 Sb 3.13
In1 0.5000 0.5000 0.5000 [1 per cell]  12 Sr 4.42
Sb1 0.0000 0.0000 0.0000 [1 per cell]  6 Sr 3.13

The calculated volume comes out at 49.0 Å³/atom. The raw formation energy comes out at -351 meV/atom. The value obtained for the magnetization is 0.00 μB per cell. As for the energy above the lowest structure with this stoichiometry: 1.35 eV per formula unit. The calculation puts the total energy at -13.663 eV/cell.